This record from Alexandria describes crystalline Cs2MnCuI6 at its relaxed geometry. The functional is GGA-PBE.

Output
Uncorrected energy (eV per atom): -3.205
DOS at the Fermi energy (states/eV per cell): 0.00
Energy above the lowest structure with this stoichiometry (eV per atom): 0.000
Uncorrected formation energy (eV per atom): -0.778
Size of the total moment (μB per cell): 8.00
ρ (g/cm3): 4.581

Geometry as CIF:
```
data_Cs2MnCuI6
_cell_length_a 8.449
_cell_length_b 8.449
_cell_length_c 11.637
_cell_angle_alpha 90.00
_cell_angle_beta 90.00
_cell_angle_gamma 90.00
_symmetry_space_group_name_H-M 'I 4/m m m'
_symmetry_Int_Tables_number 139
_symmetry_space_group_name_Hall '-I 4 2'
loop_
_atom_site_label
_atom_site_type_symbol
_atom_site_fract_x
_atom_site_fract_y
_atom_site_fract_z
_atom_site_occupancy
Cs1 Cs 0.000 0.500 0.250 1
Mn1 Mn 0.000 0.000 0.000 1
Cu1 Cu 0.000 0.000 0.500 1
I1 I 0.000 0.000 0.286 1
I2 I 0.225 0.225 0.000 1
```

This record from Alexandria describes crystalline ZrRhI2 at its relaxed geometry. The functional is GGA-PBE.

Output
Uncorrected energy (eV per atom): -4.491
DOS at the Fermi energy (states/eV per cell): 10.44
Energy above the lowest structure with this stoichiometry (eV per atom): 0.117
Uncorrected formation energy (eV per atom): 0.259
Size of the total moment (μB per cell): 3.45
ρ (g/cm3): 6.057

Geometry as CIF:
```
data_ZrRhI2
_cell_length_a 6.504
_cell_length_b 6.504
_cell_length_c 11.611
_cell_angle_alpha 90.00
_cell_angle_beta 90.00
_cell_angle_gamma 90.00
_symmetry_space_group_name_H-M 'I -4 2 d'
_symmetry_Int_Tables_number 122
_symmetry_space_group_name_Hall 'I -4 2bw'
loop_
_atom_site_label
_atom_site_type_symbol
_atom_site_fract_x
_atom_site_fract_y
_atom_site_fract_z
_atom_site_occupancy
Zr1 Zr 0.000 0.000 0.000 1
Rh1 Rh 0.000 0.000 0.500 1
I1 I 0.223 0.250 0.625 1
```

This record from Alexandria describes crystalline NaPuTl6 at its relaxed geometry. The functional is GGA-PBE.

Output
Uncorrected energy (eV per atom): -3.758
Energy relative to the elements (kJ per mole of atoms): -3
DOS at the Fermi energy (states/eV per cell): 30.77
Energy above the lowest structure with this stoichiometry (eV per atom): 0.000
Size of the total moment (μB per cell): 12.29
ρ (g/cm3): 10.956

Geometry as CIF:
```
data_NaPuTl6
_cell_length_a 9.552
_cell_length_b 9.564
_cell_length_c 4.955
_cell_angle_alpha 90.00
_cell_angle_beta 90.00
_cell_angle_gamma 90.00
_symmetry_space_group_name_H-M 'C m m m'
_symmetry_Int_Tables_number 65
_symmetry_space_group_name_Hall '-C 2 2'
loop_
_atom_site_label
_atom_site_type_symbol
_atom_site_fract_x
_atom_site_fract_y
_atom_site_fract_z
_atom_site_occupancy
Na1 Na 0.000 0.000 0.000 1
Pu1 Pu 0.000 0.500 0.000 1
Tl1 Tl 0.000 0.251 0.500 1
Tl2 Tl 0.249 0.500 0.500 1
Tl3 Tl 0.250 0.250 0.000 1
```

This record from Alexandria describes crystalline Mg2SbI at its relaxed geometry. The functional is GGA-PBE.

Output
Uncorrected energy (eV per atom): -2.723
DOS at the Fermi energy (states/eV per cell): 0.00
Energy above the lowest structure with this stoichiometry (eV per atom): 0.024
Uncorrected formation energy (eV per atom): -0.508
Size of the total moment (μB per cell): 0.00
ρ (g/cm3): 3.316

Geometry as CIF:
```
data_Mg2SbI
_cell_length_a 6.605
_cell_length_b 6.605
_cell_length_c 13.652
_cell_angle_alpha 90.00
_cell_angle_beta 90.00
_cell_angle_gamma 90.00
_symmetry_space_group_name_H-M 'I -4 2 d'
_symmetry_Int_Tables_number 122
_symmetry_space_group_name_Hall 'I -4 2bw'
loop_
_atom_site_label
_atom_site_type_symbol
_atom_site_fract_x
_atom_site_fract_y
_atom_site_fract_z
_atom_site_occupancy
Mg1 Mg 0.208 0.250 0.125 1
Sb1 Sb 0.000 0.000 0.000 1
I1 I 0.000 0.000 0.500 1
```

This record from Alexandria describes crystalline TbDy3Sc2As6 at its relaxed geometry. The functional is GGA-PBE.

Output
Uncorrected energy (eV per atom): -6.382
Energy relative to the elements (kJ per mole of atoms): -141
DOS at the Fermi energy (states/eV per cell): 4.13
Size of the total moment (μB per cell): 0.00
ρ (g/cm3): 7.005

Geometry as CIF:
```
data_TbDy3Sc2As6
_cell_length_a 7.012
_cell_length_b 12.144
_cell_length_c 7.005
_cell_angle_alpha 90.00
_cell_angle_beta 109.51
_cell_angle_gamma 90.00
_symmetry_space_group_name_H-M 'C 1 2/m 1'
_symmetry_Int_Tables_number 12
loop_
_symmetry_equiv_pos_as_xyz
'x,y,z'
'-x,-y,-z'
'-x,y,-z'
'x,-y,z'
'x+1/2,y+1/2,z'
'-x+1/2,-y+1/2,-z'
'-x+1/2,y+1/2,-z'
'x+1/2,-y+1/2,z'
loop_
_atom_site_label
_atom_site_type_symbol
_atom_site_fract_x
_atom_site_fract_y
_atom_site_fract_z
_atom_site_occupancy
Tb1 Tb 0.000 0.000 0.000 1
Dy1 Dy 0.000 0.164 0.500 1
Dy2 Dy 0.000 0.500 0.500 1
Sc1 Sc 0.000 0.333 0.000 1
As1 As 0.238 0.500 0.239 1
As2 As 0.249 0.329 0.759 1
```

This record from Alexandria describes crystalline LaTbPrDy2 at its relaxed geometry. The functional is GGA-PBE.

Output
Uncorrected energy (eV per atom): -4.356
Energy relative to the elements (kJ per mole of atoms): 34
DOS at the Fermi energy (states/eV per cell): 33.27
Size of the total moment (μB per cell): 0.00
ρ (g/cm3): 7.091

Geometry as CIF:
```
data_LaTbPrDy2
_cell_length_a 8.501
_cell_length_b 11.647
_cell_length_c 7.226
_cell_angle_alpha 90.00
_cell_angle_beta 90.00
_cell_angle_gamma 90.00
_symmetry_space_group_name_H-M 'C m c m'
_symmetry_Int_Tables_number 63
_symmetry_space_group_name_Hall '-C 2c 2'
loop_
_atom_site_label
_atom_site_type_symbol
_atom_site_fract_x
_atom_site_fract_y
_atom_site_fract_z
_atom_site_occupancy
La1 La 0.000 0.235 0.250 1
Tb1 Tb 0.000 0.219 0.750 1
Pr1 Pr 0.000 0.499 0.250 1
Dy1 Dy 0.187 0.000 0.000 1
```

This record from Alexandria describes crystalline Ti3RuCl at its relaxed geometry. The functional is GGA-PBE.

Output
Uncorrected energy (eV per atom): -6.820
DOS at the Fermi energy (states/eV per cell): 6.00
Energy above the lowest structure with this stoichiometry (eV per atom): 0.000
Uncorrected formation energy (eV per atom): 0.141
Size of the total moment (μB per cell): 0.00
ρ (g/cm3): 5.557

Geometry as CIF:
```
data_Ti3RuCl
_cell_length_a 4.375
_cell_length_b 4.375
_cell_length_c 4.375
_cell_angle_alpha 90.00
_cell_angle_beta 90.00
_cell_angle_gamma 90.00
_symmetry_space_group_name_H-M 'P m -3 m'
_symmetry_Int_Tables_number 221
_symmetry_space_group_name_Hall '-P 4 2 3'
loop_
_atom_site_label
_atom_site_type_symbol
_atom_site_fract_x
_atom_site_fract_y
_atom_site_fract_z
_atom_site_occupancy
Ti1 Ti 0.000 0.000 0.500 1
Ru1 Ru 0.500 0.500 0.500 1
Cl1 Cl 0.000 0.000 0.000 1
```

This record from Alexandria describes crystalline La3PmNi at its relaxed geometry. The functional is GGA-PBE.

Output
Uncorrected energy (eV per atom): -5.195
Energy relative to the elements (kJ per mole of atoms): -13
DOS at the Fermi energy (states/eV per cell): 30.11
Energy above the lowest structure with this stoichiometry (eV per atom): 0.000
Size of the total moment (μB per cell): 0.00
ρ (g/cm3): 6.655

Geometry as CIF:
```
data_La3PmNi
_cell_length_a 12.309
_cell_length_b 3.799
_cell_length_c 14.388
_cell_angle_alpha 90.00
_cell_angle_beta 113.02
_cell_angle_gamma 90.00
_symmetry_space_group_name_H-M 'C 1 m 1'
_symmetry_Int_Tables_number 8
loop_
_symmetry_equiv_pos_as_xyz
'x,y,z'
'x,-y,z'
'x+1/2,y+1/2,z'
'x+1/2,-y+1/2,z'
loop_
_atom_site_label
_atom_site_type_symbol
_atom_site_fract_x
_atom_site_fract_y
_atom_site_fract_z
_atom_site_occupancy
La1 La 0.000 0.000 0.000 1
La2 La 0.001 0.000 0.629 1
La3 La 0.057 0.500 0.243 1
La4 La 0.178 0.500 0.523 1
La5 La 0.344 0.000 0.759 1
La6 La 0.347 0.000 0.385 1
Pm1 Pm 0.170 0.500 0.869 1
Pm2 Pm 0.287 0.500 0.141 1
Ni1 Ni 0.027 0.000 0.379 1
Ni2 Ni 0.322 0.000 0.008 1
```